Entry from the Alexandria database: crystalline RbSmBr4 at its relaxed geometry (PBE).

Summary:
Total DFT energy (no corrections)   -3.878 eV/atom
Formation energy (no corrections)   -10.89 eV per formula unit
Symmetry   P-1
Polymorph energy (0 for the lowest one)   0.000 eV/atom

Lattice parameters (Å, degrees): 7.2083 7.8957 9.4804 74.95 67.83 90.00
Fractional positions:
Rb 0.2228 0.2511 0.4977
Rb 0.7772 0.7489 0.5023
Sm 0.0000 0.5000 0.0000
Sm 0.5000 0.0000 0.0000
Br 0.1182 0.1524 0.1136
Br 0.2693 0.6523 0.1134
Br 0.2856 0.5494 0.6914
Br 0.4800 0.9507 0.3082
Br 0.5200 0.0493 0.6918
Br 0.7144 0.4506 0.3086
Br 0.7307 0.3477 0.8866
Br 0.8818 0.8476 0.8864


Entry from the Alexandria database: crystalline Fe7Co3 at its relaxed geometry (PBE).

Summary:
DFT formation energy   0.189 eV/atom
Total DFT energy (no corrections)   -7.867 eV/atom
Symmetry   P6_3/mmc

Lattice parameters (Å, degrees): 7.7435 7.7435 4.6801 90.00 90.00 120.00
Fractional positions:
Fe 0.0000 0.5000 0.0000
Fe 0.0000 0.5000 0.5000
Fe 0.1261 0.2521 0.2500
Fe 0.1261 0.8739 0.2500
Fe 0.2521 0.1261 0.7500
Fe 0.3333 0.6667 0.2500
Fe 0.5000 0.0000 0.0000
Fe 0.5000 0.0000 0.5000
Fe 0.5000 0.5000 0.0000
Fe 0.5000 0.5000 0.5000
Fe 0.6667 0.3333 0.7500
Fe 0.7479 0.8739 0.2500
Fe 0.8739 0.1261 0.7500
Fe 0.8739 0.7479 0.7500
Co 0.2148 0.4296 0.7500
Co 0.2148 0.7852 0.7500
Co 0.4296 0.2148 0.2500
Co 0.5704 0.7852 0.7500
Co 0.7852 0.2148 0.2500
Co 0.7852 0.5704 0.2500


Entry from the Alexandria database: crystalline Rb2TiRu at its relaxed geometry (PBE).

Summary:
DFT formation energy   0.910 eV/atom
Total DFT energy (no corrections)   -3.866 eV/atom
Symmetry   I-42d
Polymorph energy (0 for the lowest one)   0.000 eV/atom

Lattice parameters (Å, degrees): 9.7037 9.7037 9.7037 93.04 93.04 153.38
Fractional positions:
Rb 0.3750 0.1963 0.3213
Rb 0.8037 0.1250 0.1787
Rb 0.8750 0.0537 0.6787
Rb 0.9463 0.6250 0.8213
Ti 0.2500 0.7500 0.5000
Ti 0.5000 0.5000 0.0000
Ru 0.0000 0.0000 0.0000
Ru 0.7500 0.2500 0.5000


Entry from the Alexandria database: crystalline Sc6P2PdSe3 at its relaxed geometry (PBE).

Summary:
Total DFT energy (no corrections)   -6.816 eV/atom
Formation energy (no corrections)   -17.34 eV per formula unit
Symmetry   C2/m

Lattice parameters (Å, degrees): 8.5898 8.5898 7.7378 103.21 103.21 25.55
Fractional positions:
Sc 0.0062 0.0062 0.2499
Sc 0.3272 0.3272 0.4285
Sc 0.3310 0.3310 0.8977
Sc 0.6690 0.6690 0.1023
Sc 0.6728 0.6728 0.5715
Sc 0.9938 0.9938 0.7501
P 0.1670 0.1670 0.3347
P 0.8330 0.8330 0.6653
Pd 0.5000 0.5000 0.0000
Se 0.1653 0.1653 0.8330
Se 0.5000 0.5000 0.5000
Se 0.8347 0.8347 0.1670


Entry from the Alexandria database: crystalline RbNa2AgBi at its relaxed geometry (PBE).

Summary:
DFT formation energy   -0.089 eV/atom
Total DFT energy (no corrections)   -2.156 eV/atom
Symmetry   P4/mmm
Polymorph energy (0 for the lowest one)   0.000 eV/atom

Lattice parameters (Å, degrees): 5.8204 5.8204 5.5836 90.00 90.00 90.00
Fractional positions:
Rb 0.0000 0.0000 0.0000
Na 0.0000 0.5000 0.5000
Na 0.5000 0.0000 0.5000
Ag 0.5000 0.5000 0.5000
Bi 0.5000 0.5000 0.0000


Entry from the Alexandria database: crystalline Li3Ca2NpH12 at its relaxed geometry (PBE).

Summary:
Total DFT energy (no corrections)   -3.691 eV/atom
Symmetry   R-3m

Lattice parameters (Å, degrees): 5.9135 5.9135 5.9135 77.61 77.61 77.61
Fractional positions:
Li 0.0000 0.5000 0.5000
Li 0.5000 0.0000 0.5000
Li 0.5000 0.5000 0.0000
Ca 0.1857 0.1857 0.1857
Ca 0.8143 0.8143 0.8143
Np 0.5000 0.5000 0.5000
H 0.1512 0.6431 0.6431
H 0.2528 0.2528 0.5474
H 0.2528 0.5474 0.2528
H 0.3569 0.3569 0.8488
H 0.3569 0.8488 0.3569
H 0.4526 0.7472 0.7472
H 0.5474 0.2528 0.2528
H 0.6431 0.1512 0.6431
H 0.6431 0.6431 0.1512
H 0.7472 0.4526 0.7472
H 0.7472 0.7472 0.4526
H 0.8488 0.3569 0.3569


Entry from the Alexandria database: crystalline Zn3Pd5Pt at its relaxed geometry (PBE).

Summary:
DFT formation energy   -0.051 eV/atom
Total DFT energy (no corrections)   -4.031 eV/atom
Symmetry   C2/m

Lattice parameters (Å, degrees): 5.5558 5.5558 10.1084 96.32 96.32 80.95
Fractional positions:
Zn 0.0000 0.0000 0.0000
Zn 0.0000 0.0000 0.5000
Zn 0.2549 0.2549 0.3706
Zn 0.3079 0.3079 0.9751
Zn 0.6921 0.6921 0.0249
Zn 0.7451 0.7451 0.6294
Pd 0.0100 0.5792 0.8306
Pd 0.2751 0.2751 0.6208
Pd 0.3206 0.6794 0.5000
Pd 0.4208 0.9900 0.1694
Pd 0.4751 0.4751 0.1987
Pd 0.5249 0.5249 0.8013
Pd 0.5792 0.0100 0.8306
Pd 0.6794 0.3206 0.5000
Pd 0.7249 0.7249 0.3792
Pd 0.9900 0.4208 0.1694
Pt 0.0446 0.0446 0.7648
Pt 0.9554 0.9554 0.2352


Entry from the Alexandria database: crystalline Ce3Pm5Sb8 at its relaxed geometry (PBE).

Summary:
Total DFT energy (no corrections)   -5.795 eV/atom
Formation energy (no corrections)   -18.19 eV per formula unit
Symmetry   R-3m

Lattice parameters (Å, degrees): 8.9897 8.9897 8.9897 59.97 59.97 59.97
Fractional positions:
Ce 0.0000 0.5000 0.5000
Ce 0.5000 0.0000 0.5000
Ce 0.5000 0.5000 0.0000
Pm 0.0000 0.0000 0.0000
Pm 0.0000 0.0000 0.5000
Pm 0.0000 0.5000 0.0000
Pm 0.5000 0.0000 0.0000
Pm 0.5000 0.5000 0.5000
Sb 0.2503 0.2503 0.2503
Sb 0.2500 0.2500 0.7487
Sb 0.2500 0.7487 0.2500
Sb 0.2513 0.7500 0.7500
Sb 0.7487 0.2500 0.2500
Sb 0.7500 0.2513 0.7500
Sb 0.7500 0.7500 0.2513
Sb 0.7497 0.7497 0.7497


N(E_F) (computed, states/eV/cell): 0.000, 24.316, 9.512, 7.030, 1.809, 13.225, 13.499, 22.157
Total magnetic moment (computed, μB per cell): 0.000, 45.296, 0.772, 0.000, 0.000, 2.000, 0.000, 2.221